Entry from Alexandria: crystalline RbBr2N at its relaxed geometry (PBE).

a b c (Å): 6.989 6.989 7.016
angles (deg): 60.13 60.13 90.00
Sites, in units of the cell vectors:
1 N 0.500 0.500 0.000
2 Rb 0.000 0.000 0.000
3 Br 0.375 0.125 0.250
4 Br 0.375 0.625 0.250
5 Rb 0.750 0.250 0.500
6 Br 0.875 0.625 0.750
7 N 0.250 0.750 0.500
8 Br 0.375 0.625 0.750

Fermi-level density of states   0.00 states/eV per cell
Theoretical density   3.54 g/cm3
Total energy   -24.339 eV/cell
Space-group type   No. 141
Formation energy from raw total energies   0.47 eV per formula unit
Excess energy over the best structure of this formula in the dataset   0.1163 eV per atom

---

Entry from Alexandria: crystalline Tb3Pm12Dy at its relaxed geometry (PBE).

a b c (Å): 5.129 5.129 20.479
angles (deg): 90.00 90.00 90.00
Sites, in units of the cell vectors:
1 Pm 0.500 0.000 0.125
2 Tb 0.000 0.000 0.500
3 Pm 0.000 0.500 0.625
4 Pm 0.500 0.500 0.750
5 Pm 0.000 0.500 0.125
6 Pm 0.500 0.500 0.500
7 Pm 0.500 0.000 0.625
8 Pm 0.000 0.500 0.875
9 Pm 0.500 0.000 0.375
10 Pm 0.500 0.500 0.250
11 Pm 0.500 0.500 0.000
12 Tb 0.000 0.000 0.750
13 Pm 0.500 0.000 0.875
14 Tb 0.000 0.000 0.250
15 Pm 0.000 0.500 0.375
16 Dy 0.000 0.000 0.000

Fermi-level density of states   23.91 states/eV per cell
Theoretical density   7.33 g/cm3
Total energy   -75.271 eV/cell
Space-group type   No. 123
Energy relative to the elements   0.01 eV per atom

---

Entry from Alexandria: crystalline TlGa2PtRh at its relaxed geometry (PBE).

a b c (Å): 4.742 5.225 4.742
angles (deg): 90.00 90.00 90.00
Sites, in units of the cell vectors:
1 Ga 0.000 0.000 0.500
2 Pt 0.000 0.000 0.000
3 Tl 0.500 0.500 0.500
4 Ga 0.500 0.000 0.000
5 Rh 0.000 0.500 0.000

Fermi-level density of states   5.39 states/eV per cell
Theoretical density   9.07 g/cm3
Total energy   -20.688 eV/cell
Space-group type   No. 123
Energy relative to the elements   0.22 eV per atom

---

Entry from Alexandria: crystalline Ag3HgSe2 at its relaxed geometry (PBE).

a b c (Å): 4.700 8.101 10.899
angles (deg): 126.83 110.60 85.19
Sites, in units of the cell vectors:
1 Hg 0.246 0.260 0.113
2 Hg 0.754 0.740 0.887
3 Se 0.136 0.370 0.733
4 Se 0.481 0.885 0.708
5 Se 0.519 0.115 0.292
6 Ag 0.974 0.076 0.751
7 Ag 0.026 0.924 0.249
8 Ag 0.614 0.292 0.962
9 Ag 0.386 0.708 0.038
10 Ag 0.515 0.231 0.577
11 Ag 0.485 0.769 0.423
12 Se 0.864 0.630 0.267

Fermi-level density of states   4.28 states/eV per cell
Theoretical density   7.39 g/cm3
Total energy   -31.972 eV/cell
Space-group type   No. 2
Formation energy from raw total energies   -0.16 eV per formula unit
Excess energy over the best structure of this formula in the dataset   0.0000 eV per atom

---

Entry from Alexandria: crystalline Sn4Bi11Pb9 at its relaxed geometry (PBE).

a b c (Å): 14.902 14.902 3.499
angles (deg): 90.00 90.00 103.13
Sites, in units of the cell vectors:
1 Bi 0.759 0.759 0.000
2 Pb 0.029 0.206 0.500
3 Pb 0.622 0.156 0.500
4 Bi 0.633 0.367 0.000
5 Pb 0.971 0.794 0.500
6 Bi 0.414 0.061 0.000
7 Sn 0.567 0.737 0.500
8 Bi 0.586 0.939 0.000
9 Bi 0.061 0.414 0.000
10 Pb 0.794 0.971 0.500
11 Bi 0.939 0.586 0.000
12 Sn 0.737 0.567 0.500
13 Pb 0.156 0.622 0.500
14 Bi 0.823 0.177 0.000
15 Sn 0.433 0.263 0.500
16 Bi 0.177 0.823 0.000
17 Pb 0.500 0.500 0.500
18 Bi 0.367 0.633 0.000
19 Pb 0.378 0.844 0.500
20 Bi 0.000 0.000 0.000
21 Pb 0.844 0.378 0.500
22 Bi 0.241 0.241 0.000
23 Sn 0.263 0.433 0.500
24 Pb 0.206 0.029 0.500

Fermi-level density of states   11.54 states/eV per cell
Theoretical density   10.18 g/cm3
Total energy   -90.766 eV/cell
Space-group type   No. 65
Energy relative to the elements   0.05 eV per atom

---

Entry from Alexandria: crystalline Na2AcLaS4 at its relaxed geometry (PBE).

a b c (Å): 4.302 7.454 7.118
angles (deg): 110.42 90.00 90.00
Sites, in units of the cell vectors:
1 S 0.000 0.739 0.235
2 La 0.500 0.500 0.000
3 S 0.500 0.747 0.761
4 Na 0.500 0.000 0.500
5 Ac 0.000 0.000 0.000
6 S 0.500 0.253 0.239
7 S 0.000 0.261 0.765
8 Na 0.000 0.500 0.500

Fermi-level density of states   0.00 states/eV per cell
Theoretical density   4.19 g/cm3
Total energy   -42.842 eV/cell
Space-group type   No. 10
Formation energy from raw total energies   -14.66 eV per formula unit